# MoPCl2O (PBE+U, optimized geometry)
# Energy above the most stable polymorph in this dataset   0.000 eV/atom
# Final energy   -4.363 eV/atom
# Density of states at the Fermi level   0.7 states/eV per cell
data_MoPCl2O
_cell_length_a 5.2363
_cell_length_b 5.2363
_cell_length_c 3.4778
_cell_angle_alpha 90.00
_cell_angle_beta 90.00
_cell_angle_gamma 90.00
_space_group_name_H-M_alt 'P 4/m m m'
_space_group_IT_number 123
_space_group_name_Hall '-P 4 2'
loop_
_atom_site_label
_atom_site_type_symbol
_atom_site_fract_x
_atom_site_fract_y
_atom_site_fract_z
Mo1 Mo 0.0000 0.0000 0.0000
P1 P 0.5000 0.5000 0.5000
Cl1 Cl 0.0000 0.5000 0.5000
O1 O 0.5000 0.5000 0.0000